The following is a DFT calculation (PBE-GGA) of HgBiS after structural relaxation.

Geometry as extended XYZ:
```
3
Lattice="3.7456 0.0000 0.0000 0.0000 3.7456 0.0000 -1.8728 -1.8728 6.0395" Properties=species:S:1:pos:R:3 pbc="T T T"
S 0.0000 0.0000 3.5328
Hg 1.8728 1.8728 6.0150
Bi 1.8728 1.8728 2.5312
```

Mass density: 8.655 g cm⁻³
Uncorrected formation energy: 0.0153 eV/atom
E above lowest polymorph: 0.145 eV per formula unit



The following is a DFT calculation (PBE-GGA) of YPNCl2 after structural relaxation.

Geometry as extended XYZ:
```
5
Lattice="4.3642 0.0000 0.0000 0.0000 4.3642 0.0000 0.0000 0.0000 4.5401" Properties=species:S:1:pos:R:3 pbc="T T T"
N 0.0000 0.0000 0.0000
Cl 2.1821 0.0000 0.0000
Cl 0.0000 2.1821 0.0000
P 0.0000 0.0000 2.2701
Y 2.1821 2.1821 2.2701
```

Mass density: 3.933 g cm⁻³
Uncorrected formation energy: 0.1303 eV/atom
E above lowest polymorph: 0.000 eV per formula unit



The following is a DFT calculation (PBE-GGA) of CaBe3Os after structural relaxation.

Geometry as extended XYZ:
```
5
Lattice="-1.2160 -3.4767 -2.0056 3.9856 -0.7983 -1.0325 0.4741 -2.2054 3.5355" Properties=species:S:1:pos:R:3 pbc="T T T"
Be 0.2371 -1.1027 1.7678
Be 1.9928 -0.3992 -0.5162
Be -0.6080 -1.7384 -1.0028
Ca 0.0000 0.0000 0.0000
Os 1.6219 -3.2402 0.2487
```

ΔE_f: 2.64 eV/atom
Mass density: 5.793 g cm⁻³
E above lowest polymorph: 12.746 eV per formula unit